Compound: PmHoMgHg
Source: Alexandria
Functional: PBE-GGA
Structure: relaxed

Cell: 5.3493 5.3493 5.3493 Å, 60.00 60.00 60.00°
With the nearest neighbours (Å) after each atom.
Atoms (fractional coordinates):
1 Mg 0.0000 0.0000 0.0000  4 Ho 3.28, 4 Pm 3.28
2 Ho 0.2500 0.2500 0.2500  4 Hg 3.28, 4 Mg 3.28
3 Pm 0.7500 0.7500 0.7500  4 Hg 3.28, 4 Mg 3.28
4 Hg 0.5000 0.5000 0.5000  4 Ho 3.28, 4 Pm 3.28

Output
**SG**: No. 216
**Polymorph energy (0 for the lowest one)**: 20 meV/atom
**D(E_F)**: 4.9 states/eV/f.u.
**Raw total energy**: -0.113 Ha/atom
**Formation energy**: -0.26 eV per atom